1.
## RbHfAlS4 (PBE)

Data for crystalline RbHfAlS4 at its relaxed geometry.

Calculated values
Its symmetry is P2_1/m. The value obtained for the uncorrected formation energy is -1.3485 eV/atom.

Lattice parameters (Å, degrees): 6.315 6.777 8.514 90.00 94.87 90.00
Positions (direct):
Rb (0.217, 0.250, 0.064)
Rb (0.783, 0.750, 0.936)
Hf (0.176, 0.750, 0.457)
Hf (0.824, 0.250, 0.543)
Al (0.350, 0.250, 0.647)
Al (0.650, 0.750, 0.353)
S (0.104, 0.006, 0.680)
S (0.104, 0.494, 0.680)
S (0.350, 0.750, 0.196)
S (0.457, 0.250, 0.408)
S (0.543, 0.750, 0.592)
S (0.650, 0.250, 0.804)
S (0.896, 0.506, 0.320)
S (0.896, 0.994, 0.320)



2.
## Rb2HfAlSe5 (PBE)

Data for crystalline Rb2HfAlSe5 at its relaxed geometry.

Calculated values
Its symmetry is Cmc2_1. The value obtained for the uncorrected formation energy is -1.1025 eV/atom.

Lattice parameters (Å, degrees): 10.585 10.585 14.884 90.00 90.00 159.27
Positions (direct):
Rb (0.128, 0.872, 0.500)
Rb (0.131, 0.869, 0.872)
Rb (0.869, 0.131, 0.372)
Rb (0.872, 0.128, 0.000)
Hf (0.207, 0.793, 0.209)
Hf (0.793, 0.207, 0.709)
Al (0.424, 0.576, 0.614)
Al (0.576, 0.424, 0.114)
Se (0.066, 0.934, 0.215)
Se (0.298, 0.702, 0.830)
Se (0.310, 0.690, 0.576)
Se (0.329, 0.671, 0.186)
Se (0.487, 0.513, 0.482)
Se (0.513, 0.487, 0.982)
Se (0.671, 0.329, 0.686)
Se (0.690, 0.310, 0.076)
Se (0.702, 0.298, 0.330)
Se (0.934, 0.066, 0.715)



3.
## RbHfAlSe4 (PBE)

Data for crystalline RbHfAlSe4 at its relaxed geometry.

Calculated values
Its symmetry is P2_1/m. The value obtained for the uncorrected formation energy is -1.1491 eV/atom.

Lattice parameters (Å, degrees): 6.568 7.114 8.860 90.00 95.11 90.00
Positions (direct):
Rb (0.220, 0.250, 0.056)
Rb (0.780, 0.750, 0.944)
Hf (0.178, 0.750, 0.455)
Hf (0.822, 0.250, 0.545)
Al (0.346, 0.250, 0.648)
Al (0.654, 0.750, 0.352)
Se (0.099, 0.000, 0.684)
Se (0.099, 0.500, 0.684)
Se (0.349, 0.750, 0.188)
Se (0.454, 0.250, 0.403)
Se (0.546, 0.750, 0.597)
Se (0.651, 0.250, 0.812)
Se (0.901, 0.000, 0.316)
Se (0.901, 0.500, 0.316)



4.
## RbHf2AlTc (PBE)

Data for crystalline RbHf2AlTc at its relaxed geometry.

Calculated values
Its symmetry is P4/mmm. The energy relative to the elements is 1.15 eV/atom.

Lattice parameters (Å, degrees): 5.032 5.032 5.676 90.00 90.00 90.00
Positions (direct):
Rb (0.000, 0.000, 0.000)
Hf (0.000, 0.500, 0.500)
Hf (0.500, 0.000, 0.500)
Al (0.500, 0.500, 0.000)
Tc (0.000, 0.000, 0.500)



5.
## Rb2HfAlTe4 (PBE)

Data for crystalline Rb2HfAlTe4 at its relaxed geometry.

Calculated values
Its symmetry is Fddd. The value obtained for the uncorrected formation energy is -0.7361 eV/atom.

Lattice parameters (Å, degrees): 15.153 13.676 8.246 83.53 63.74 32.73
Positions (direct):
Rb (0.056, 0.056, 0.694)
Rb (0.306, 0.306, 0.944)
Rb (0.694, 0.694, 0.056)
Rb (0.944, 0.944, 0.306)
Hf (0.125, 0.125, 0.125)
Hf (0.875, 0.875, 0.875)
Al (0.375, 0.375, 0.375)
Al (0.625, 0.625, 0.625)
Te (0.025, 0.334, 0.424)
Te (0.283, 0.576, 0.666)
Te (0.334, 0.025, 0.717)
Te (0.424, 0.717, 0.025)
Te (0.576, 0.283, 0.975)
Te (0.666, 0.975, 0.283)
Te (0.717, 0.424, 0.334)
Te (0.975, 0.666, 0.576)



6.
## Rb2HfAlTe5 (PBE)

Data for crystalline Rb2HfAlTe5 at its relaxed geometry.

Calculated values
Its symmetry is Cmc2_1. The value obtained for the uncorrected formation energy is -0.7632 eV/atom.

Lattice parameters (Å, degrees): 11.421 11.421 15.888 90.00 90.00 159.61
Positions (direct):
Rb (0.124, 0.876, 0.500)
Rb (0.137, 0.863, 0.870)
Rb (0.863, 0.137, 0.370)
Rb (0.876, 0.124, 0.000)
Hf (0.203, 0.797, 0.208)
Hf (0.797, 0.203, 0.708)
Al (0.423, 0.577, 0.603)
Al (0.577, 0.423, 0.103)
Te (0.066, 0.934, 0.209)
Te (0.300, 0.700, 0.834)
Te (0.306, 0.694, 0.571)
Te (0.327, 0.673, 0.182)
Te (0.486, 0.514, 0.466)
Te (0.514, 0.486, 0.966)
Te (0.673, 0.327, 0.682)
Te (0.694, 0.306, 0.071)
Te (0.700, 0.300, 0.334)
Te (0.934, 0.066, 0.709)



7.
## Hf2AlRe (PBE)

Data for crystalline Hf2AlRe at its relaxed geometry.

Calculated values
Its symmetry is I-42d. The energy relative to the elements is 0.36 eV/atom.

Lattice parameters (Å, degrees): 6.067 6.067 6.067 102.10 102.10 125.51
Positions (direct):
Hf (0.088, 0.625, 0.963)
Hf (0.375, 0.338, 0.463)
Hf (0.662, 0.125, 0.037)
Hf (0.875, 0.912, 0.537)
Al (0.250, 0.750, 0.500)
Al (0.500, 0.500, 0.000)
Re (0.000, 0.000, 0.000)
Re (0.750, 0.250, 0.500)



8.
## Hf2AlRe (PBE)

Data for crystalline Hf2AlRe at its relaxed geometry.

Calculated values
Its symmetry is R-3m. The energy relative to the elements is -0.08 eV/atom.

Lattice parameters (Å, degrees): 9.043 9.043 9.043 20.17 20.17 20.17
Positions (direct):
Hf (0.244, 0.244, 0.244)
Hf (0.756, 0.756, 0.756)
Al (0.000, 0.000, 0.000)
Re (0.500, 0.500, 0.500)



9.
## Hf8Al2Re (PBE)

Data for crystalline Hf8Al2Re at its relaxed geometry.

Calculated values
Its symmetry is C2/m. The energy relative to the elements is -0.13 eV/atom.

Lattice parameters (Å, degrees): 7.854 7.854 6.956 112.19 112.19 35.08
Positions (direct):
Hf (0.020, 0.020, 0.281)
Hf (0.181, 0.181, 0.746)
Hf (0.336, 0.336, 0.581)
Hf (0.398, 0.398, 0.069)
Hf (0.602, 0.602, 0.931)
Hf (0.664, 0.664, 0.419)
Hf (0.819, 0.819, 0.254)
Hf (0.980, 0.980, 0.719)
Al (0.189, 0.189, 0.164)
Al (0.811, 0.811, 0.836)
Re (0.500, 0.500, 0.500)



10.
## HfAl3Re (PBE)

Data for crystalline HfAl3Re at its relaxed geometry.

Calculated values
Its symmetry is Pm-3m. The value obtained for the energy above the most stable polymorph in this dataset is 1591 meV per atom. The energy relative to the elements is 2.04 eV/atom.

Lattice parameters (Å, degrees): 4.892 4.892 4.892 90.00 90.00 90.00
Positions (direct):
Hf (0.000, 0.000, 0.000)
Al (0.000, 0.000, 0.500)
Al (0.000, 0.500, 0.000)
Al (0.500, 0.000, 0.000)
Re (0.500, 0.500, 0.500)



11.
## Hf3AlRe (PBE)

Data for crystalline Hf3AlRe at its relaxed geometry.

Calculated values
Its symmetry is Pm-3m. The value obtained for the energy above the most stable polymorph in this dataset is 609 meV per atom. The energy relative to the elements is 1.27 eV/atom.

Lattice parameters (Å, degrees): 4.814 4.814 4.814 90.00 90.00 90.00
Positions (direct):
Hf (0.000, 0.000, 0.500)
Hf (0.000, 0.500, 0.000)
Hf (0.500, 0.000, 0.000)
Al (0.000, 0.000, 0.000)
Re (0.500, 0.500, 0.500)



12.
## Hf5AlRe4 (PBE)

Data for crystalline Hf5AlRe4 at its relaxed geometry.

Calculated values
Its symmetry is P4/mmm. The energy relative to the elements is -0.37 eV/atom.

Lattice parameters (Å, degrees): 3.318 3.318 16.216 90.00 90.00 90.00
Positions (direct):
Hf (0.000, 0.000, 0.000)
Hf (0.000, 0.000, 0.200)
Hf (0.000, 0.000, 0.394)
Hf (0.000, 0.000, 0.606)
Hf (0.000, 0.000, 0.800)
Al (0.500, 0.500, 0.500)
Re (0.500, 0.500, 0.100)
Re (0.500, 0.500, 0.303)
Re (0.500, 0.500, 0.697)
Re (0.500, 0.500, 0.900)



13.
## Hf4Al3Re (PBE)

Data for crystalline Hf4Al3Re at its relaxed geometry.

Calculated values
Its symmetry is P4/mmm. The energy relative to the elements is -0.32 eV/atom.

Lattice parameters (Å, degrees): 3.328 3.328 13.435 90.00 90.00 90.00
Positions (direct):
Hf (0.000, 0.000, 0.115)
Hf (0.000, 0.000, 0.368)
Hf (0.000, 0.000, 0.632)
Hf (0.000, 0.000, 0.885)
Al (0.500, 0.500, 0.240)
Al (0.500, 0.500, 0.500)
Al (0.500, 0.500, 0.760)
Re (0.500, 0.500, 0.000)



14.
## HfAlRe3 (PBE)

Data for crystalline HfAlRe3 at its relaxed geometry.

Calculated values
Its symmetry is Pm-3m. The value obtained for the energy above the most stable polymorph in this dataset is 0 meV per atom. The energy relative to the elements is 1.18 eV/atom.

Lattice parameters (Å, degrees): 4.478 4.478 4.478 90.00 90.00 90.00
Positions (direct):
Hf (0.000, 0.000, 0.000)
Al (0.500, 0.500, 0.500)
Re (0.000, 0.500, 0.500)
Re (0.500, 0.000, 0.500)
Re (0.500, 0.500, 0.000)



15.
## Hf4AlRe3 (PBE)

Data for crystalline Hf4AlRe3 at its relaxed geometry.

Calculated values
Its symmetry is Pmmm. The energy relative to the elements is -0.38 eV/atom.

Lattice parameters (Å, degrees): 3.326 4.633 9.263 90.00 90.00 90.00
Positions (direct):
Hf (0.000, 0.000, 0.000)
Hf (0.000, 0.000, 0.500)
Hf (0.000, 0.500, 0.242)
Hf (0.000, 0.500, 0.758)
Al (0.500, 0.500, 0.500)
Re (0.500, 0.000, 0.256)
Re (0.500, 0.000, 0.744)
Re (0.500, 0.500, 0.000)



16.
## HfAlRe3 (PBE)

Data for crystalline HfAlRe3 at its relaxed geometry.

Calculated values
Its symmetry is Pm-3m. The value obtained for the energy above the most stable polymorph in this dataset is 1260 meV per atom. The energy relative to the elements is 2.44 eV/atom.

Lattice parameters (Å, degrees): 4.771 4.771 4.771 90.00 90.00 90.00
Positions (direct):
Hf (0.000, 0.000, 0.000)
Al (0.500, 0.500, 0.500)
Re (0.000, 0.000, 0.500)
Re (0.000, 0.500, 0.000)
Re (0.500, 0.000, 0.000)



17.
## HfAl3Re (PBE)

Data for crystalline HfAl3Re at its relaxed geometry.

Calculated values
Its symmetry is Pm-3m. The value obtained for the energy above the most stable polymorph in this dataset is 0 meV per atom. The energy relative to the elements is 0.45 eV/atom.

Lattice parameters (Å, degrees): 4.671 4.671 4.671 90.00 90.00 90.00
Positions (direct):
Hf (0.000, 0.000, 0.000)
Al (0.000, 0.500, 0.500)
Al (0.500, 0.000, 0.500)
Al (0.500, 0.500, 0.000)
Re (0.500, 0.500, 0.500)



18.
## Hf4AlRe2 (PBE)

Data for crystalline Hf4AlRe2 at its relaxed geometry.

Calculated values
Its symmetry is I4/mmm. The energy relative to the elements is -0.14 eV/atom.

Lattice parameters (Å, degrees): 5.657 5.657 5.657 110.47 110.47 107.48
Positions (direct):
Hf (0.000, 0.000, 0.500)
Hf (0.000, 0.500, 0.000)
Hf (0.500, 0.000, 0.000)
Hf (0.500, 0.500, 0.500)
Al (0.000, 0.000, 0.000)
Re (0.000, 0.500, 0.500)
Re (0.500, 0.000, 0.500)



19.
## Hf2AlRe (PBE)

Data for crystalline Hf2AlRe at its relaxed geometry.

Calculated values
Its symmetry is P4/mmm. The energy relative to the elements is -0.43 eV/atom.

Lattice parameters (Å, degrees): 3.357 3.357 6.454 90.00 90.00 90.00
Positions (direct):
Hf (0.000, 0.000, 0.240)
Hf (0.000, 0.000, 0.760)
Al (0.500, 0.500, 0.500)
Re (0.500, 0.500, 0.000)



20.
## HfAlRe2 (PBE)

Data for crystalline HfAlRe2 at its relaxed geometry.

Calculated values
Its symmetry is I-42d. The energy relative to the elements is 0.63 eV/atom.

Lattice parameters (Å, degrees): 5.780 5.780 5.780 102.34 102.34 124.93
Positions (direct):
Hf (0.000, 0.000, 0.000)
Hf (0.750, 0.250, 0.500)
Al (0.250, 0.750, 0.500)
Al (0.500, 0.500, 0.000)
Re (0.160, 0.625, 0.035)
Re (0.375, 0.410, 0.535)
Re (0.590, 0.125, 0.965)
Re (0.875, 0.840, 0.465)



21.
## Hf4Al2Re (PBE)

Data for crystalline Hf4Al2Re at its relaxed geometry.

Calculated values
Its symmetry is I4/mmm. The energy relative to the elements is 0.58 eV/atom.

Lattice parameters (Å, degrees): 7.781 7.781 7.781 142.64 142.64 53.86
Positions (direct):
Hf (0.000, 0.500, 0.500)
Hf (0.182, 0.182, 0.000)
Hf (0.500, 0.000, 0.500)
Hf (0.818, 0.818, 0.000)
Al (0.382, 0.382, 0.000)
Al (0.618, 0.618, 0.000)
Re (0.000, 0.000, 0.000)



22.
## Hf2Al3Re (PBE)

Data for crystalline Hf2Al3Re at its relaxed geometry.

Calculated values
Its symmetry is R-3m. The energy relative to the elements is -0.45 eV/atom.

Lattice parameters (Å, degrees): 5.282 5.282 5.282 59.43 59.43 59.43
Positions (direct):
Hf (0.130, 0.130, 0.130)
Hf (0.870, 0.870, 0.870)
Al (0.000, 0.500, 0.500)
Al (0.500, 0.000, 0.500)
Al (0.500, 0.500, 0.000)
Re (0.500, 0.500, 0.500)



23.
## Hf3AlRe (PBE)

Data for crystalline Hf3AlRe at its relaxed geometry.

Calculated values
Its symmetry is Pm-3m. The value obtained for the energy above the most stable polymorph in this dataset is 0 meV per atom. The energy relative to the elements is 0.66 eV/atom.

Lattice parameters (Å, degrees): 5.009 5.009 5.009 90.00 90.00 90.00
Positions (direct):
Hf (0.000, 0.000, 0.500)
Hf (0.000, 0.500, 0.000)
Hf (0.500, 0.000, 0.000)
Al (0.500, 0.500, 0.500)
Re (0.000, 0.000, 0.000)



24.
## Hf3AlRe2 (PBE)

Data for crystalline Hf3AlRe2 at its relaxed geometry.

Calculated values
Its symmetry is P4/mmm. The energy relative to the elements is -0.42 eV/atom.

Lattice parameters (Å, degrees): 3.342 3.342 9.683 90.00 90.00 90.00
Positions (direct):
Hf (0.000, 0.000, 0.000)
Hf (0.000, 0.000, 0.325)
Hf (0.000, 0.000, 0.675)
Al (0.500, 0.500, 0.500)
Re (0.500, 0.500, 0.172)
Re (0.500, 0.500, 0.828)



How do the records compare in mass density? In the order shown, they have 3.8 4.3 4.9 6.6 4.2 4.7 11.7 12.3 12.2 6.3 11.1 15.5 10.9 14.1 15.1 11.7 7.3 13.3 13.0 13.7 9.2 10.1 9.9 14.4 g/cm³.